1.
Compound: LiScGaBi
Source: Alexandria via LeMat-Bulk
Functional: PBE
Structure: optimized geometry

Cell lengths 7.057, 7.057, 7.057 Å; angles 90.00, 90.00, 90.00 degrees
Sites, in units of the cell vectors:
Li: 0.000 0.000 0.000
Li: 0.000 0.500 0.500
Li: 0.500 0.000 0.500
Li: 0.500 0.500 0.000
Sc: 0.000 0.000 0.500
Sc: 0.000 0.500 0.000
Sc: 0.500 0.000 0.000
Sc: 0.500 0.500 0.500
Ga: 0.250 0.250 0.250
Ga: 0.250 0.750 0.750
Ga: 0.750 0.250 0.750
Ga: 0.750 0.750 0.250
Bi: 0.250 0.250 0.750
Bi: 0.250 0.750 0.250
Bi: 0.750 0.250 0.250
Bi: 0.750 0.750 0.750

Values from the calculation:
**ΔE_f**: -0.305 eV per atom

***

2.
Compound: AcMgAlAu6
Source: Alexandria via LeMat-Bulk
Functional: PBE
Structure: optimized geometry

Cell lengths 8.176, 8.176, 8.176 Å; angles 125.01, 108.27, 96.47 degrees
Sites, in units of the cell vectors:
Ac: 0.477 0.227 0.250
Ac: 0.523 0.773 0.750
Mg: 0.000 0.000 0.500
Mg: 0.000 0.500 0.000
Al: 0.000 0.000 0.000
Al: 0.500 0.000 0.500
Au: 0.131 0.424 0.303
Au: 0.131 0.829 0.707
Au: 0.179 0.929 0.250
Au: 0.206 0.456 0.750
Au: 0.379 0.171 0.803
Au: 0.379 0.576 0.207
Au: 0.621 0.424 0.793
Au: 0.621 0.829 0.197
Au: 0.794 0.544 0.250
Au: 0.821 0.071 0.750
Au: 0.869 0.171 0.293
Au: 0.869 0.576 0.697

Values from the calculation:
**ΔE_f**: -0.386 eV per atom

***

3.
Compound: Li2ZnC2O6
Source: Alexandria via LeMat-Bulk
Functional: PBE
Structure: optimized geometry

Cell lengths 4.858, 4.858, 5.980 Å; angles 90.00, 90.00, 120.00 degrees
Sites, in units of the cell vectors:
Li: 0.333 0.667 0.281
Li: 0.667 0.333 0.719
Zn: 0.000 0.000 0.000
C: 0.333 0.667 0.791
C: 0.667 0.333 0.209
O: 0.077 0.687 0.789
O: 0.313 0.390 0.789
O: 0.390 0.077 0.211
O: 0.610 0.923 0.789
O: 0.687 0.610 0.211
O: 0.923 0.313 0.211

Values from the calculation:
**ΔE_f (raw)**: -17.865 eV/f.u.

***

4.
Compound: KNaMgHg2
Source: Alexandria via LeMat-Bulk
Functional: PBE
Structure: optimized geometry

Cell lengths 5.550, 5.550, 5.844 Å; angles 90.00, 90.00, 90.00 degrees
Sites, in units of the cell vectors:
K: 0.000 0.000 0.000
Na: 0.500 0.500 0.000
Mg: 0.500 0.500 0.500
Hg: 0.000 0.500 0.500
Hg: 0.500 0.000 0.500

Values from the calculation:
**ΔE_f**: -0.026 eV per atom
**Distance to the lowest polymorph of the same formula**: 0.0 meV/atom

***

5.
Compound: SmEr3Pd3
Source: Alexandria via LeMat-Bulk
Functional: PBE
Structure: optimized geometry

Cell lengths 6.960, 6.960, 7.082 Å; angles 91.10, 91.10, 97.35 degrees
Sites, in units of the cell vectors:
Sm: 0.233 0.233 0.378
Sm: 0.767 0.767 0.622
Er: 0.154 0.154 0.866
Er: 0.254 0.746 0.500
Er: 0.322 0.678 0.000
Er: 0.678 0.322 0.000
Er: 0.746 0.254 0.500
Er: 0.846 0.846 0.134
Pd: 0.007 0.505 0.777
Pd: 0.439 0.439 0.697
Pd: 0.495 0.993 0.223
Pd: 0.505 0.007 0.777
Pd: 0.561 0.561 0.303
Pd: 0.993 0.495 0.223

Values from the calculation:
**ΔE_f**: -0.695 eV per atom

***

6.
Compound: TcBBr2
Source: Alexandria via LeMat-Bulk
Functional: PBE
Structure: optimized geometry

Cell lengths 6.426, 6.426, 6.426 Å; angles 90.00, 90.00, 90.00 degrees
Sites, in units of the cell vectors:
Tc: 0.000 0.000 0.000
Tc: 0.000 0.500 0.500
Tc: 0.500 0.000 0.500
Tc: 0.500 0.500 0.000
B: 0.000 0.000 0.500
B: 0.000 0.500 0.000
B: 0.500 0.000 0.000
B: 0.500 0.500 0.500
Br: 0.250 0.250 0.250
Br: 0.250 0.250 0.750
Br: 0.250 0.750 0.250
Br: 0.250 0.750 0.750
Br: 0.750 0.250 0.250
Br: 0.750 0.250 0.750
Br: 0.750 0.750 0.250
Br: 0.750 0.750 0.750

Values from the calculation:
**ΔE_f (raw)**: 6.011 eV/f.u.
**Distance to the lowest polymorph of the same formula**: 153.7 meV/atom

***

7.
Compound: InGeN2F
Source: Alexandria via LeMat-Bulk
Functional: PBE
Structure: optimized geometry

Cell lengths 3.864, 3.864, 3.811 Å; angles 90.00, 90.00, 90.00 degrees
Sites, in units of the cell vectors:
In: 0.000 0.000 0.000
Ge: 0.500 0.500 0.500
N: 0.000 0.500 0.500
N: 0.500 0.000 0.500
F: 0.500 0.500 0.000

Values from the calculation:
**ΔE_f (raw)**: 0.693 eV/f.u.
**Distance to the lowest polymorph of the same formula**: 0.0 meV/atom

***

8.
Compound: CaAs2Ru2
Source: Alexandria via LeMat-Bulk
Functional: PBE
Structure: optimized geometry

Cell lengths 4.456, 4.456, 9.417 Å; angles 90.00, 90.00, 90.00 degrees
Sites, in units of the cell vectors:
Ca: 0.000 0.000 0.000
Ca: 0.500 0.500 0.500
As: 0.000 0.500 0.250
As: 0.000 0.500 0.750
As: 0.500 0.000 0.250
As: 0.500 0.000 0.750
Ru: 0.000 0.000 0.369
Ru: 0.000 0.000 0.631
Ru: 0.500 0.500 0.131
Ru: 0.500 0.500 0.869

Values from the calculation:
**ΔE_f**: -0.329 eV per atom

***

9.
Compound: VPd4Au
Source: Alexandria via LeMat-Bulk
Functional: PBE
Structure: optimized geometry

Cell lengths 5.486, 7.142, 5.394 Å; angles 90.00, 90.00, 90.00 degrees
Sites, in units of the cell vectors:
V: 0.250 0.000 0.190
V: 0.750 0.000 0.810
Pd: 0.000 0.193 0.500
Pd: 0.000 0.256 0.000
Pd: 0.000 0.744 0.000
Pd: 0.000 0.807 0.500
Pd: 0.500 0.193 0.500
Pd: 0.500 0.256 0.000
Pd: 0.500 0.744 0.000
Pd: 0.500 0.807 0.500
Au: 0.250 0.500 0.675
Au: 0.750 0.500 0.325

Values from the calculation:
**ΔE_f**: 0.062 eV per atom
**Distance to the lowest polymorph of the same formula**: 239.4 meV/atom

***

10.
Compound: HfMg2Pd
Source: Alexandria via LeMat-Bulk
Functional: PBE
Structure: optimized geometry

Cell lengths 6.663, 6.663, 6.663 Å; angles 90.00, 90.00, 90.00 degrees
Sites, in units of the cell vectors:
Hf: 0.000 0.000 0.000
Hf: 0.000 0.500 0.500
Hf: 0.500 0.000 0.500
Hf: 0.500 0.500 0.000
Mg: 0.250 0.250 0.250
Mg: 0.250 0.250 0.750
Mg: 0.250 0.750 0.250
Mg: 0.250 0.750 0.750
Mg: 0.750 0.250 0.250
Mg: 0.750 0.250 0.750
Mg: 0.750 0.750 0.250
Mg: 0.750 0.750 0.750
Pd: 0.000 0.000 0.500
Pd: 0.000 0.500 0.000
Pd: 0.500 0.000 0.000
Pd: 0.500 0.500 0.500

Values from the calculation:
**ΔE_f**: -0.040 eV per atom

***

11.
Compound: Tl7BiSe6
Source: Alexandria via LeMat-Bulk
Functional: PBE
Structure: optimized geometry

Cell lengths 8.336, 8.336, 8.336 Å; angles 64.87, 64.87, 64.87 degrees
Sites, in units of the cell vectors:
Tl: 0.000 0.000 0.000
Tl: 0.142 0.590 0.920
Tl: 0.172 0.641 0.409
Tl: 0.409 0.172 0.641
Tl: 0.590 0.920 0.142
Tl: 0.641 0.409 0.172
Tl: 0.920 0.142 0.590
Bi: 0.647 0.647 0.647
Se: 0.326 0.863 0.519
Se: 0.406 0.821 0.972
Se: 0.519 0.326 0.863
Se: 0.821 0.972 0.406
Se: 0.863 0.519 0.326
Se: 0.972 0.406 0.821

Values from the calculation:
**ΔE_f (raw)**: -4.286 eV/f.u.

***

12.
Compound: GeBiBr2
Source: Alexandria via LeMat-Bulk
Functional: PBE
Structure: optimized geometry

Cell lengths 7.496, 7.496, 7.496 Å; angles 90.00, 90.00, 90.00 degrees
Sites, in units of the cell vectors:
Ge: 0.000 0.000 0.000
Ge: 0.000 0.500 0.500
Ge: 0.500 0.000 0.500
Ge: 0.500 0.500 0.000
Bi: 0.000 0.000 0.500
Bi: 0.000 0.500 0.000
Bi: 0.500 0.000 0.000
Bi: 0.500 0.500 0.500
Br: 0.250 0.250 0.250
Br: 0.250 0.250 0.750
Br: 0.250 0.750 0.250
Br: 0.250 0.750 0.750
Br: 0.750 0.250 0.250
Br: 0.750 0.250 0.750
Br: 0.750 0.750 0.250
Br: 0.750 0.750 0.750

Values from the calculation:
**ΔE_f (raw)**: 0.858 eV/f.u.
**Distance to the lowest polymorph of the same formula**: 327.8 meV/atom

***

13.
Compound: ZrTiPdO2
Source: Alexandria via LeMat-Bulk
Functional: PBE
Structure: optimized geometry

Cell lengths 3.990, 3.990, 6.292 Å; angles 90.00, 90.00, 90.00 degrees
Sites, in units of the cell vectors:
Zr: 0.000 0.000 0.000
Ti: 0.000 0.000 0.500
Pd: 0.500 0.500 0.500
O: 0.000 0.500 0.000
O: 0.500 0.000 0.000

Values from the calculation:
**ΔE_f (raw)**: -4.065 eV/f.u.

***

14.
Compound: SrMgGa2Ag2
Source: Alexandria via LeMat-Bulk
Functional: PBE
Structure: optimized geometry

Cell lengths 4.576, 4.576, 7.413 Å; angles 90.00, 90.00, 120.00 degrees
Sites, in units of the cell vectors:
Sr: 0.000 0.000 0.000
Mg: 0.000 0.000 0.500
Ga: 0.333 0.667 0.289
Ga: 0.667 0.333 0.711
Ag: 0.333 0.667 0.678
Ag: 0.667 0.333 0.322

Values from the calculation:
**ΔE_f**: -0.315 eV per atom

***

15.
Compound: Ca6Ag2HN
Source: Alexandria via LeMat-Bulk
Functional: PBE
Structure: optimized geometry

Cell lengths 7.015, 7.037, 12.041 Å; angles 90.00, 125.57, 90.00 degrees
Sites, in units of the cell vectors:
Ca: 0.177 0.227 0.472
Ca: 0.177 0.273 0.972
Ca: 0.245 0.706 0.472
Ca: 0.245 0.794 0.972
Ca: 0.294 0.006 0.241
Ca: 0.294 0.494 0.741
Ca: 0.706 0.506 0.259
Ca: 0.706 0.994 0.759
Ca: 0.755 0.206 0.028
Ca: 0.755 0.294 0.528
Ca: 0.823 0.727 0.028
Ca: 0.823 0.773 0.528
Ag: 0.246 0.027 0.750
Ag: 0.246 0.473 0.250
Ag: 0.754 0.527 0.750
Ag: 0.754 0.973 0.250
H: 0.500 0.000 0.500
H: 0.500 0.500 0.000
N: 0.000 0.000 0.000
N: 0.000 0.500 0.500

Values from the calculation:
**E**: -33.93 eV/f.u.

***

16.
Compound: Sm7Os2Au2
Source: Alexandria via LeMat-Bulk
Functional: PBE
Structure: optimized geometry

Cell lengths 6.818, 6.818, 7.100 Å; angles 90.00, 90.00, 107.32 degrees
Sites, in units of the cell vectors:
Sm: 0.000 0.000 0.000
Sm: 0.000 0.500 0.258
Sm: 0.000 0.500 0.742
Sm: 0.500 0.000 0.258
Sm: 0.500 0.000 0.742
Sm: 0.500 0.500 0.249
Sm: 0.500 0.500 0.751
Os: 0.293 0.707 0.000
Os: 0.707 0.293 0.000
Au: 0.183 0.183 0.500
Au: 0.817 0.817 0.500

Values from the calculation:
**ΔE_f**: -0.262 eV per atom

***

17.
Compound: Er8InSn2
Source: Alexandria via LeMat-Bulk
Functional: PBE
Structure: optimized geometry

Cell lengths 9.976, 9.976, 6.750 Å; angles 103.57, 103.57, 29.31 degrees
Sites, in units of the cell vectors:
Er: 0.022 0.022 0.266
Er: 0.215 0.215 0.824
Er: 0.342 0.342 0.500
Er: 0.408 0.408 0.023
Er: 0.592 0.592 0.977
Er: 0.658 0.658 0.500
Er: 0.785 0.785 0.176
Er: 0.978 0.978 0.734
In: 0.500 0.500 0.500
Sn: 0.181 0.181 0.259
Sn: 0.819 0.819 0.741

Values from the calculation:
**ΔE_f**: -0.309 eV per atom

***

18.
Compound: Tm6BiPt2Se3
Source: Alexandria via LeMat-Bulk
Functional: PBE
Structure: optimized geometry

Cell lengths 9.357, 9.357, 8.431 Å; angles 106.12, 106.12, 25.03 degrees
Sites, in units of the cell vectors:
Tm: 0.011 0.011 0.270
Tm: 0.324 0.324 0.877
Tm: 0.331 0.331 0.418
Tm: 0.669 0.669 0.582
Tm: 0.676 0.676 0.123
Tm: 0.989 0.989 0.730
Bi: 0.500 0.500 0.000
Pt: 0.172 0.172 0.353
Pt: 0.828 0.828 0.647
Se: 0.160 0.160 0.846
Se: 0.500 0.500 0.500
Se: 0.840 0.840 0.154

Values from the calculation:
**ΔE_f (raw)**: -16.403 eV/f.u.